TlCd2Ir | PBE-GGA | optimized geometry

a b c (Å): 4.233 4.233 4.400
angles (deg): 90.00 90.00 90.00
Sites, in units of the cell vectors:
Tl 0.000 0.000 0.000
Cd 0.000 0.500 0.500
Cd 0.500 0.000 0.500
Ir 0.500 0.500 0.000

## Properties
calculated volume: 79 Å³/cell
energy of formation from the pure elements: 30.79 kJ per mole of atoms
space-group type: P4/mmm, No. 123